DFT (PBE with a Hubbard U) results for Li2VF6 after structural relaxation.

Summary:
space-group type: No. 136
crystal system: tetragonal
DFT total energy: -5.36 eV per atom

Cell lengths 4.6747, 4.6747, 9.1290 Å; angles 90.00, 90.00, 90.00 degrees
Site moments in Bohr magnetons follow the coordinates.
Fractional coordinates of all 18 atoms:
Li: 0.0000 0.0000 0.3327  0.00
Li: 0.0000 0.0000 0.6673  0.00
Li: 0.5000 0.5000 0.1673  0.00
Li: 0.5000 0.5000 0.8327  0.00
V: 0.0000 0.0000 0.0000  1.00
V: 0.5000 0.5000 0.5000  1.00
F: 0.1936 0.8064 0.1540  0.00
F: 0.1936 0.8064 0.8460  0.00
F: 0.2195 0.7805 0.5000  -0.02
F: 0.2805 0.2805 0.0000  -0.02
F: 0.3064 0.3064 0.3460  0.00
F: 0.3064 0.3064 0.6540  0.00
F: 0.6936 0.6936 0.3460  0.00
F: 0.6936 0.6936 0.6540  0.00
F: 0.7195 0.7195 0.0000  -0.02
F: 0.7805 0.2195 0.5000  -0.02
F: 0.8064 0.1936 0.8460  0.00
F: 0.8064 0.1936 0.1540  0.00